Here is an optimized crystal structure of Mg2ZrCu from Alexandria via LeMat-Bulk. Energies are from PBEsol.

The structure belongs to space group Imm2 (No. 44); the cell edges are 3.388, 4.840 and 9.226 Å and the angles 90.00°, 90.00° and 90.00°. Symmetry generates all atoms from Mg at (0.000, 0.000, 0.000), Mg at (0.000, 0.500, 0.223), Zr at (0.000, 0.500, 0.782) and Cu at (0.000, 0.000, 0.505).

As for the volume: 18.91 Å³/atom. The calculation puts the total energy at -4.07 eV/atom. Its total magnetization is 0.00 μB/f.u. The calculated formation energy comes out at 0.6 eV per formula unit. The density comes out at 4.5 g cm⁻³.

=====

Here is an optimized crystal structure of AgMoIr2 from Alexandria via LeMat-Bulk. Energies are from PBEsol.

The structure belongs to space group Cmmm (No. 65); the cell edges are 5.578, 7.685 and 2.759 Å and the angles 90.00°, 90.00° and 90.00°. Symmetry generates all atoms from Ag at (0.000, 0.000, 0.000), Mo at (0.000, 0.500, 0.000) and Ir at (0.250, 0.250, 0.500).

As for the volume: 14.78 Å³/atom. As for the polymorph energy (0 for the lowest one): 0.0 meV per atom. The calculation puts the total energy at -8.45 eV/atom. Its total magnetization is 0.00 μB/f.u. The calculated formation energy comes out at 0.9 eV per formula unit. The density comes out at 16.5 g cm⁻³.

=====

Here is an optimized crystal structure of Co2AsPb from Alexandria via LeMat-Bulk. Energies are from PBEsol.

The structure belongs to space group P2/m (No. 10); the cell edges are 4.118, 3.119 and 5.140 Å and the angles 90.00°, 111.58° and 90.00°. Symmetry generates all atoms from Co at (0.000, 0.000, 0.000), Co at (0.500, 0.500, 0.500), As at (0.000, 0.000, 0.500) and Pb at (0.500, 0.500, 0.000).

As for the volume: 15.35 Å³/atom. As for the polymorph energy (0 for the lowest one): 304.1 meV per atom. The calculation puts the total energy at -5.72 eV/atom. Its total magnetization is 1.66 μB/f.u. The calculated formation energy comes out at 1.7 eV per formula unit. The density comes out at 10.8 g cm⁻³.

=====

Here is an optimized crystal structure of YMoAu2 from Alexandria via LeMat-Bulk. Energies are from PBEsol.

The structure belongs to space group Fm-3m (No. 225); the cell edges are 6.752, 6.752 and 6.752 Å and the angles 90.00°, 90.00° and 90.00°. Symmetry generates all atoms from Y at (0.000, 0.000, 0.000), Mo at (0.000, 0.000, 0.500) and Au at (0.250, 0.250, 0.250).

As for the volume: 19.23 Å³/atom. As for the polymorph energy (0 for the lowest one): 78.6 meV per atom. The calculation puts the total energy at -6.62 eV/atom. Its total magnetization is 2.28 μB/f.u. The calculated formation energy comes out at -0.1 eV per formula unit. The density comes out at 12.5 g cm⁻³.

=====

Here is an optimized crystal structure of Sr2Ru2Se from Alexandria via LeMat-Bulk. Energies are from PBEsol.

The structure belongs to space group I4/mmm (No. 139); the cell edges are 5.881, 5.881 and 7.191 Å and the angles 90.00°, 90.00° and 90.00°. Symmetry generates all atoms from Sr at (0.000, 0.500, 0.250), Ru at (0.000, 0.000, 0.159) and Se at (0.000, 0.000, 0.500).

As for the volume: 24.87 Å³/atom. The value obtained for the formation energy from raw total energies is 268 meV/atom. The calculation puts the total energy at -5.31 eV/atom. Its total magnetization is 0.00 μB/f.u. The density comes out at 6.1 g cm⁻³.

=====

Here is an optimized crystal structure of GaPI2O from Alexandria via LeMat-Bulk. Energies are from PBEsol.

The structure belongs to space group P4/mmm (No. 123); the cell edges are 5.664, 5.664 and 3.572 Å and the angles 90.00°, 90.00° and 90.00°. Symmetry generates all atoms from Ga at (0.000, 0.000, 0.000), P at (0.500, 0.500, 0.500), I at (0.000, 0.500, 0.500) and O at (0.500, 0.500, 0.000).

As for the volume: 22.91 Å³/atom. The value obtained for the formation energy from raw total energies is -298 meV/atom. The calculation puts the total energy at -3.88 eV/atom. Its total magnetization is 0.00 μB/f.u. The density comes out at 5.4 g cm⁻³.